DFT (GGA-PBEsol) results for a geometry-optimized Rb3BeTc structure.

Properties
formation energy: 1803 meV/atom
density: 2.41 g cm⁻³
M_tot: 2.12 μB per formula unit

```
data_Rb3BeTc
_cell_length_a 6.302
_cell_length_b 6.302
_cell_length_c 6.302
_cell_angle_alpha 90.00
_cell_angle_beta 90.00
_cell_angle_gamma 90.00
_space_group_name_H-M_alt 'P m -3 m'
_space_group_IT_number 221
_space_group_name_Hall '-P 4 2 3'
loop_
_atom_site_label
_atom_site_type_symbol
_atom_site_fract_x
_atom_site_fract_y
_atom_site_fract_z
_atom_site_occupancy
Rb1 Rb 0.000 0.000 0.500 1
Be1 Be 0.500 0.500 0.500 1
Tc1 Tc 0.000 0.000 0.000 1
```